Record 1
A relaxed RbCaEu crystal, computed with GGA-PBE.

```
RbCaEu
1.0
-3.486 -0.453 -2.010
1.573 -3.136 -2.022
-2.307 -4.391 9.071
Eu Ca Rb
1 1 1
direct
0.682 0.682 0.365
0.320 0.320 0.639
0.998 0.998 0.996
```

- relative energy among the computed polymorphs (meV per atom) = 14
- DOS(E_F) (states/eV/cell) = 12.114
- formation energy from the elements (eV per atom) = 0.17
- volume (Å³ per atom) = 54.3

=====

Record 2
A relaxed BeO crystal, computed with GGA-PBE.

```
BeO
1.0
2.679 0.000 0.000
0.000 6.506 0.000
0.000 0.000 6.558
O Be
6 6
direct
0.500 0.500 0.077
0.000 0.208 0.286
0.500 0.000 0.577
0.000 0.708 0.786
0.000 0.792 0.286
0.000 0.292 0.786
0.500 0.297 0.215
0.500 0.203 0.715
0.500 0.797 0.715
0.000 0.500 0.922
0.500 0.703 0.215
0.000 0.000 0.422
```

- formation energy from raw total energies (meV/atom) = -2633
- relative energy among the computed polymorphs (meV per atom) = 127
- DOS(E_F) (states/eV/cell) = 0.000
- volume (Å³ per atom) = 9.5